Below is an optimized crystal structure of Sm4SiTe2P, with properties calculated at the PBE-GGA level.

The structure in POSCAR format:
```
Sm4SiTe2P
1.0
7.384 0.000 0.000
0.000 4.262 0.000
-2.457 0.000 7.212
Sm Si Te P
4 1 2 1
direct
0.238 0.000 0.216
0.259 0.500 0.780
0.741 0.500 0.220
0.762 0.000 0.784
0.500 0.000 0.000
0.000 0.000 0.500
0.500 0.500 0.500
0.000 0.500 0.000
```

Computed properties:
The magnetic moment comes out at 0.000 μB/atom. The theoretical density comes out at 6.70 Mg/m³. Its energy relative to the elements, uncorrected is -1.357 eV per atom. As for the space-group type: P2/m (10). The total energy comes out at -5.856 eV/atom.